Record 1
{"formula": "LaPm2PrTl2", "functional": "PBE", "state": "relaxed", "lattice": [[5.3820, 0.0000, 0.0000], [0.0000, 10.2235, 0.0000], [0.0000, 0.0000, 6.9519]], "species": ["La", "La", "Pm", "Pm", "Pm", "Pm", "Pr", "Pr", "Tl", "Tl", "Tl", "Tl"], "fractional_positions": [[0.0000, 0.0401, 0.0000], [0.0000, 0.9599, 0.5000], [0.0000, 0.3246, 0.3372], [0.0000, 0.6754, 0.8372], [0.5000, 0.4594, 0.0595], [0.5000, 0.5406, 0.5595], [0.5000, 0.1787, 0.7279], [0.5000, 0.8213, 0.2279], [0.0000, 0.3600, 0.8121], [0.0000, 0.6400, 0.3121], [0.5000, 0.1500, 0.2532], [0.5000, 0.8500, 0.7532]], "vol_a3_per_atom": 31.9, "n_ef_per_ev_fu": 7.9, "e_form_ev_per_atom": -0.2777}

Record 2
{"formula": "La6Pm2PrTl", "functional": "PBE", "state": "relaxed", "lattice": [[5.5019, -6.7367, 0.0000], [5.5019, 6.7367, 0.0000], [-1.6562, 0.0000, 9.5031]], "species": ["La", "La", "La", "La", "La", "La", "La", "La", "La", "La", "La", "La", "Pm", "Pm", "Pm", "Pm", "Pr", "Pr", "Tl", "Tl"], "fractional_positions": [[0.0430, 0.4603, 0.6649], [0.0682, 0.8306, 0.9041], [0.1694, 0.9318, 0.5959], [0.2347, 0.5811, 0.0892], [0.4189, 0.7653, 0.4108], [0.4603, 0.0430, 0.1649], [0.5397, 0.9570, 0.8351], [0.5811, 0.2347, 0.5892], [0.7653, 0.4189, 0.9108], [0.8306, 0.0682, 0.4041], [0.9318, 0.1694, 0.0959], [0.9570, 0.5397, 0.3351], [0.2414, 0.2994, 0.3952], [0.2994, 0.2414, 0.8952], [0.7006, 0.7586, 0.1048], [0.7586, 0.7006, 0.6048], [0.4232, 0.5768, 0.7500], [0.5768, 0.4232, 0.2500], [0.0981, 0.9019, 0.2500], [0.9019, 0.0981, 0.7500]], "vol_a3_per_atom": 35.2, "n_ef_per_ev_fu": 14.6, "e_form_ev_per_atom": -0.0037}